{"formula": "AlAgSb2Rh", "functional": "GGA-PBEsol", "state": "optimized geometry", "lattice": [[4.964, 0.000, 0.000], [0.000, 5.082, 0.000], [0.000, 0.000, 5.082]], "species": ["Sb", "Sb", "Rh", "Al", "Ag"], "fractional_positions": [[0.000, 0.000, 0.500], [0.000, 0.500, 0.000], [0.500, 0.000, 0.000], [0.500, 0.500, 0.500], [0.000, 0.000, 0.000]], "vol_a3_per_cell": 128.20, "final_energy_ev_per_cell": -19.44, "n_ef_per_ev_cell": 3.2, "magmom_total_mub_per_fu": 0.00, "e_form_raw_ev_per_atom": 1.043}